Material: SmVSeO2
Method: DFT, PBE+U
State: optimized geometry Values from VASP.

Values from the calculation:
Total energy: -7.3632 eV/atom
Crystal system: tetragonal
Magnetization: 2.0 μB/cell
Space group: No. 99

Geometry as Quantum ESPRESSO input:
```
&SYSTEM
  ibrav = 0, nat = 5, ntyp = 4
/
ATOMIC_SPECIES
Sm 150.36 Sm.upf
V 50.94 V.upf
Se 78.96 Se.upf
O 16.00 O.upf
ATOMIC_POSITIONS crystal
Sm 0.0000 0.0000 0.0000
V 0.5000 0.5000 0.3109
Se 0.5000 0.5000 0.7651
O 0.0000 0.5000 0.2393
O 0.5000 0.0000 0.2393
CELL_PARAMETERS angstrom
3.9415 0.0000 0.0000
0.0000 3.9415 0.0000
0.0000 0.0000 5.6864
```